No. 1
U2Ga3Co4 | PBE | relaxed

Cell and atoms, written as POSCAR:
```
U2Ga3Co4
1.0
3.9856 -1.6973 0.0000
3.9856 1.6973 0.0000
-0.5453 0.0000 10.5066
U Ga Co
2 3 4
Direct
0.1781 0.1781 0.2755
0.8219 0.8219 0.7245
0.1408 0.1408 0.9323
0.5000 0.5000 0.5000
0.8592 0.8592 0.0677
0.2067 0.2067 0.5826
0.4276 0.4276 0.8754
0.5724 0.5724 0.1246
0.7933 0.7933 0.4174
```

Calculated values
**Calculated volume**: 15.79 Å³ per atom
**Theoretical density**: 10.76 g cm⁻³
**Crystal system**: monoclinic
**Formation energy from the elements**: -2.006 eV per formula unit
**Energy**: -6.8985 eV/atom


No. 2
K2NiOs | PBE | relaxed

Cell and atoms, written as POSCAR:
```
K2NiOs
1.0
2.8002 -5.5685 0.0000
2.8002 5.5685 0.0000
-1.1208 0.0000 2.4787
K Ni Os
2 1 1
Direct
0.0000 0.5000 0.0000
0.5000 0.0000 0.0000
0.0000 0.0000 0.5000
0.5000 0.5000 0.5000
```

Calculated values
**Calculated volume**: 19.33 Å³ per atom
**Theoretical density**: 7.03 g cm⁻³
**Relative energy among the computed polymorphs**: 0.565 eV per atom
**Crystal system**: monoclinic
**Formation energy from the elements**: 5.039 eV per formula unit
**Energy**: -3.5418 eV/atom


No. 3
TaTeP2 | PBE | relaxed

Cell and atoms, written as POSCAR:
```
TaTeP2
1.0
-3.0960 3.0960 5.4810
3.0960 -3.0960 5.4810
3.0960 3.0960 -5.4810
Ta Te P
2 2 4
Direct
0.0000 0.0000 0.0000
0.7500 0.2500 0.5000
0.2500 0.7500 0.5000
0.5000 0.5000 0.0000
0.0691 0.6250 0.9441
0.3750 0.3191 0.4441
0.6809 0.1250 0.0559
0.8750 0.9309 0.5559
```

Calculated values
**Calculated volume**: 26.27 Å³ per atom
**Theoretical density**: 5.86 g cm⁻³
**Uncorrected formation energy**: 0.349 eV/atom
**Crystal system**: tetragonal
**Energy**: -6.1042 eV/atom


No. 4
LiCr2Sn | PBE | relaxed

Cell and atoms, written as POSCAR:
```
LiCr2Sn
1.0
-1.7823 1.7823 9.6718
1.7823 -1.7823 9.6718
1.7823 1.7823 -9.6718
Li Cr Sn
2 4 2
Direct
0.0000 0.0000 0.0000
0.7500 0.2500 0.5000
0.1668 0.6250 0.0418
0.3750 0.4168 0.5418
0.5832 0.1250 0.9582
0.8750 0.8332 0.4582
0.2500 0.7500 0.5000
0.5000 0.5000 0.0000
```

Calculated values
**Calculated volume**: 15.36 Å³ per atom
**Theoretical density**: 6.21 g cm⁻³
**Crystal system**: tetragonal
**Formation energy from the elements**: 2.660 eV per formula unit
**Energy**: -5.6259 eV/atom


No. 5
Sr2LiW | PBE | relaxed

Cell and atoms, written as POSCAR:
```
Sr2LiW
1.0
0.0000 3.9441 3.9441
3.9441 0.0000 3.9441
3.9441 3.9441 0.0000
Sr Li W
2 1 1
Direct
0.2500 0.2500 0.2500
0.7500 0.7500 0.7500
0.0000 0.0000 0.0000
0.5000 0.5000 0.5000
```

Calculated values
**Calculated volume**: 30.68 Å³ per atom
**Theoretical density**: 4.95 g cm⁻³
**Relative energy among the computed polymorphs**: 0.079 eV per atom
**Crystal system**: cubic
**Formation energy from the elements**: 3.899 eV per formula unit
**Energy**: -3.5829 eV/atom


No. 6
La2ZnAu | PBE | relaxed

Cell and atoms, written as POSCAR:
```
La2ZnAu
1.0
3.8109 0.0000 0.0000
0.0000 3.8109 0.0000
0.0000 0.0000 7.3909
La Zn Au
2 1 1
Direct
0.0000 0.0000 0.2481
0.0000 0.0000 0.7519
0.5000 0.5000 0.0000
0.5000 0.5000 0.5000
```

Calculated values
**Calculated volume**: 26.83 Å³ per atom
**Theoretical density**: 8.36 g cm⁻³
**Crystal system**: tetragonal
**Formation energy from the elements**: -2.189 eV per formula unit
**Energy**: -4.1488 eV/atom


No. 7
NpGa3Au | PBE | relaxed

Cell and atoms, written as POSCAR:
```
NpGa3Au
1.0
0.0000 3.0203 5.4823
3.0166 0.0000 5.4823
3.0166 3.0203 0.0000
Np Ga Au
1 3 1
Direct
0.0000 0.0000 0.0000
0.2732 0.2732 0.2268
0.4153 0.4153 0.5847
0.7732 0.7732 0.7268
0.6414 0.6414 0.3586
```

Calculated values
**Calculated volume**: 19.98 Å³ per atom
**Theoretical density**: 10.69 g cm⁻³
**Relative energy among the computed polymorphs**: 0.000 eV per atom
**Crystal system**: orthorhombic
**Formation energy from the elements**: -1.001 eV per formula unit
**Energy**: -5.2599 eV/atom